First-principles (PBE) data for an optimized crystal structure of Tb2In2Hg3, as listed in Alexandria via LeMat-Bulk.

Lattice parameters (Å, degrees): 3.501 4.577 11.502 101.48 90.00 90.00
Sites, in units of the cell vectors:
Tb (0.000, 0.146, 0.293)
In (0.500, 0.288, 0.575)
In (0.500, 0.712, 0.425)
Hg (0.000, 0.000, 0.000)
Hg (0.500, 0.429, 0.858)
Hg (0.500, 0.571, 0.142)
Tb (0.000, 0.854, 0.707)

Results
Mass density (Mg/m³): 10.6
Density of states at the Fermi level (states/eV per atom): 0.452
Formation energy from the elements (kJ/mol of formula units): -190
Size of the total moment (Bohr magnetons per cell): 0.0


First-principles (PBE) data for an optimized crystal structure of TbInHg4, as listed in Alexandria via LeMat-Bulk.

Lattice parameters (Å, degrees): 4.716 4.776 6.905 89.99 109.97 90.00
Sites, in units of the cell vectors:
Hg (0.171, 0.500, 0.342)
Tb (0.500, 0.500, 0.000)
Hg (0.829, 0.500, 0.658)
Hg (0.664, 0.000, 0.328)
In (0.000, 0.000, 0.000)
Hg (0.336, 0.000, 0.672)

Results
Mass density (Mg/m³): 12.2
Density of states at the Fermi level (states/eV per atom): 0.374
Formation energy from the elements (kJ/mol of formula units): -136
E above lowest polymorph (meV per atom): 0.0
Size of the total moment (Bohr magnetons per cell): 0.0


First-principles (PBE) data for an optimized crystal structure of TbInHg2, as listed in Alexandria via LeMat-Bulk.

Lattice parameters (Å, degrees): 3.832 3.832 8.915 77.59 77.59 60.00
Sites, in units of the cell vectors:
In (0.500, 0.500, 0.500)
Hg (0.249, 0.249, 0.254)
Hg (0.085, 0.085, 0.745)
Tb (0.666, 0.666, 0.001)

Results
Mass density (Mg/m³): 10.2
Density of states at the Fermi level (states/eV per atom): 0.560
Formation energy from the elements (kJ/mol of formula units): -77
Size of the total moment (Bohr magnetons per cell): 0.0


First-principles (PBE) data for an optimized crystal structure of Tb6InHg5, as listed in Alexandria via LeMat-Bulk.

Lattice parameters (Å, degrees): 5.278 7.518 8.368 90.00 108.32 90.00
Sites, in units of the cell vectors:
Hg (0.336, 0.000, 0.671)
Hg (0.664, 0.000, 0.329)
Tb (0.167, 0.251, 0.336)
Tb (0.833, 0.251, 0.664)
In (0.000, 0.000, 0.000)
Hg (0.000, 0.500, 0.000)
Hg (0.335, 0.500, 0.669)
Tb (0.833, 0.749, 0.664)
Tb (0.500, 0.253, 0.000)
Tb (0.500, 0.747, 0.000)
Tb (0.167, 0.749, 0.336)
Hg (0.665, 0.500, 0.331)

Results
Mass density (Mg/m³): 10.9
Density of states at the Fermi level (states/eV per atom): 1.114
Formation energy from the elements (kJ/mol of formula units): -552
Size of the total moment (Bohr magnetons per cell): 1.0


First-principles (PBE) data for an optimized crystal structure of TbIn7Hg4, as listed in Alexandria via LeMat-Bulk.

Lattice parameters (Å, degrees): 6.217 8.806 7.241 89.48 64.58 69.33
Sites, in units of the cell vectors:
In (0.338, 0.660, 0.663)
Hg (0.173, 0.339, 0.315)
In (0.234, 0.032, 0.499)
In (0.896, 0.357, 0.852)
Hg (0.562, 0.686, 0.190)
Tb (0.000, 0.000, 0.000)
Hg (0.438, 0.314, 0.810)
Hg (0.827, 0.661, 0.685)
In (0.500, 0.000, 0.000)
In (0.104, 0.643, 0.148)
In (0.766, 0.968, 0.501)
In (0.662, 0.340, 0.337)

Results
Mass density (Mg/m³): 8.9
Density of states at the Fermi level (states/eV per atom): 0.451
Formation energy from the elements (kJ/mol of formula units): -19
Size of the total moment (Bohr magnetons per cell): 0.0


First-principles (PBE) data for an optimized crystal structure of Tb3In4Hg4, as listed in Alexandria via LeMat-Bulk.

Lattice parameters (Å, degrees): 4.536 7.681 9.211 114.64 104.25 90.00
Sites, in units of the cell vectors:
In (0.336, 0.139, 0.672)
Hg (0.774, 0.274, 0.549)
Tb (0.118, 0.118, 0.235)
In (0.664, 0.467, 0.328)
Hg (0.500, 0.810, 0.000)
Tb (0.882, 0.882, 0.765)
In (0.664, 0.861, 0.328)
Tb (0.000, 0.500, 0.000)
In (0.336, 0.533, 0.672)
Hg (0.226, 0.726, 0.451)
Hg (0.500, 0.190, 0.000)

Results
Mass density (Mg/m³): 10.3
Density of states at the Fermi level (states/eV per atom): 0.544
Formation energy from the elements (kJ/mol of formula units): -290
Size of the total moment (Bohr magnetons per cell): 0.0


First-principles (PBE) data for an optimized crystal structure of Tb2In3Hg2, as listed in Alexandria via LeMat-Bulk.

Lattice parameters (Å, degrees): 3.578 4.754 10.886 102.61 90.00 90.00
Sites, in units of the cell vectors:
In (0.000, 0.000, 0.000)
Hg (0.500, 0.288, 0.577)
In (0.500, 0.428, 0.855)
Tb (0.000, 0.156, 0.312)
In (0.500, 0.572, 0.145)
Hg (0.500, 0.712, 0.423)
Tb (0.000, 0.844, 0.688)

Results
Mass density (Mg/m³): 9.8
Density of states at the Fermi level (states/eV per atom): 0.668
Formation energy from the elements (kJ/mol of formula units): -210
Size of the total moment (Bohr magnetons per cell): 0.0


First-principles (PBE) data for an optimized crystal structure of TbInHg3, as listed in Alexandria via LeMat-Bulk.

Lattice parameters (Å, degrees): 5.433 6.545 8.580 112.42 90.05 90.00
Sites, in units of the cell vectors:
Hg (0.251, 0.903, 0.295)
Hg (0.749, 0.097, 0.705)
Hg (0.000, 0.000, 0.000)
Tb (0.751, 0.190, 0.380)
Tb (0.249, 0.810, 0.620)
Hg (0.251, 0.393, 0.295)
In (0.250, 0.344, 0.688)
Hg (0.500, 0.000, 0.000)
Hg (0.749, 0.607, 0.705)
In (0.750, 0.656, 0.312)

Results
Mass density (Mg/m³): 10.3
Density of states at the Fermi level (states/eV per atom): 0.490
Formation energy from the elements (kJ/mol of formula units): -82
E above lowest polymorph (meV per atom): 20.4
Size of the total moment (Bohr magnetons per cell): 0.0


First-principles (PBE) data for an optimized crystal structure of TbInHg2, as listed in Alexandria via LeMat-Bulk.

Lattice parameters (Å, degrees): 4.491 4.673 4.673 90.00 90.00 90.00
Sites, in units of the cell vectors:
Tb (0.500, 0.000, 0.000)
Hg (0.000, 0.000, 0.500)
In (0.500, 0.500, 0.500)
Hg (0.000, 0.500, 0.000)

Results
Mass density (Mg/m³): 11.4
Density of states at the Fermi level (states/eV per atom): 0.821
Formation energy from the elements (kJ/mol of formula units): -137
Size of the total moment (Bohr magnetons per cell): 0.0


First-principles (PBE) data for an optimized crystal structure of Tb4In3Hg, as listed in Alexandria via LeMat-Bulk.

Lattice parameters (Å, degrees): 3.827 4.796 12.028 90.00 90.00 90.00
Sites, in units of the cell vectors:
In (0.000, 0.500, 0.579)
In (0.500, 0.000, 0.922)
In (0.000, 0.000, 0.420)
Tb (0.000, 0.000, 0.151)
Hg (0.500, 0.500, 0.082)
Tb (0.000, 0.500, 0.848)
Tb (0.500, 0.500, 0.342)
Tb (0.500, 0.000, 0.655)

Results
Mass density (Mg/m³): 8.9
Density of states at the Fermi level (states/eV per atom): 0.792
Formation energy from the elements (kJ/mol of formula units): -338
E above lowest polymorph (meV per atom): 37.1
Size of the total moment (Bohr magnetons per cell): 0.2


First-principles (PBE) data for an optimized crystal structure of Tb3In2Hg4, as listed in Alexandria via LeMat-Bulk.

Lattice parameters (Å, degrees): 4.918 6.090 9.292 114.90 90.00 113.82
Sites, in units of the cell vectors:
In (0.391, 0.782, 0.726)
In (0.609, 0.218, 0.274)
Hg (0.913, 0.826, 0.578)
Hg (0.087, 0.174, 0.422)
Hg (0.307, 0.614, 0.976)
Tb (0.665, 0.331, 0.672)
Tb (0.000, 0.000, 0.000)
Hg (0.693, 0.386, 0.024)
Tb (0.335, 0.669, 0.328)

Results
Mass density (Mg/m³): 11.1
Density of states at the Fermi level (states/eV per atom): 0.498
Formation energy from the elements (kJ/mol of formula units): -375
Size of the total moment (Bohr magnetons per cell): 0.0


First-principles (PBE) data for an optimized crystal structure of Tb2In3Hg3, as listed in Alexandria via LeMat-Bulk.

Lattice parameters (Å, degrees): 4.639 4.602 9.190 90.00 90.00 90.00
Sites, in units of the cell vectors:
Hg (0.500, 0.500, 0.746)
Hg (0.500, 0.500, 0.254)
In (0.000, 0.500, 0.000)
In (0.500, 0.000, 0.500)
Tb (0.000, 0.000, 0.752)
In (0.000, 0.500, 0.500)
Hg (0.500, 0.000, 0.000)
Tb (0.000, 0.000, 0.248)

Results
Mass density (Mg/m³): 10.7
Density of states at the Fermi level (states/eV per atom): 0.478
Formation energy from the elements (kJ/mol of formula units): -293
Size of the total moment (Bohr magnetons per cell): 0.0